[1]
## CsCu4Hg3Cl12 (PBE)

Data for an optimized crystal structure of CsCu4Hg3Cl12.

a = 13.9590 Å, b = 13.9590 Å, c = 10.5735 Å
α = 90.00°, β = 90.00°, γ = 120.00°
Space group R32 (No. 155, hexagonal axes)
Asymmetric unit:
1 Cs 0.0000 0.0000 0.0000
2 Cu 0.0000 0.0000 0.5000
3 Cu 0.0000 0.4233 0.5000
4 Hg 0.0000 0.5658 0.0000
5 Cl 0.0000 0.5869 0.5000
6 Cl 0.0000 0.8409 0.5000
7 Cl 0.0443 0.2103 0.2044

For the formation energy (no corrections), the calculation gives -13.0 eV/f.u. As for the total magnetization: 3.4 μB per cell.



[2]
## Cs3Cu2HgCl8 (PBE)

Data for an optimized crystal structure of Cs3Cu2HgCl8.

a = 7.3926 Å, b = 7.3926 Å, c = 9.6580 Å
α = 90.00°, β = 90.00°, γ = 120.00°
Space group P-3m1 (No. 164)
Asymmetric unit:
1 Cs 0.0000 0.0000 0.0000
2 Cs 0.3333 0.6667 0.6457
3 Cu 0.3333 0.6667 0.2228
4 Hg 0.0000 0.0000 0.5000
5 Cl 0.1687 0.3374 0.3257
6 Cl 0.3333 0.6667 0.9965

For the formation energy (no corrections), the calculation gives -16.4 eV/f.u. As for the total magnetization: 1.1 μB per cell.



[3]
## Cs3Cu2HgCl6 (PBE)

Data for an optimized crystal structure of Cs3Cu2HgCl6.

a = 7.9147 Å, b = 7.9147 Å, c = 9.0457 Å
α = 90.00°, β = 90.00°, γ = 120.00°
Space group P-3m1 (No. 164)
Asymmetric unit:
1 Cs 0.0000 0.0000 0.0000
2 Cs 0.3333 0.6667 0.6566
3 Cu 0.3333 0.6667 0.2587
4 Hg 0.0000 0.0000 0.5000
5 Cl 0.1730 0.3459 0.2781

For the formation energy (no corrections), the calculation gives -13.8 eV/f.u. As for the total magnetization: 0.0 μB per cell.



[4]
## CsCuHg2Cl8 (PBE)

Data for an optimized crystal structure of CsCuHg2Cl8.

a = 6.9346 Å, b = 7.3726 Å, c = 9.2000 Å
α = 72.91°, β = 73.06°, γ = 80.03°
Space group P-1 (No. 2)
Asymmetric unit:
1 Cs 0.0000 0.0000 0.0000
2 Cu 0.0000 0.0000 0.5000
3 Hg 0.4832 0.4969 0.2966
4 Cl 0.1159 0.7836 0.6833
5 Cl 0.2352 0.8992 0.3157
6 Cl 0.2885 0.3235 0.5321
7 Cl 0.3452 0.3429 0.9542

For the formation energy (no corrections), the calculation gives -9.0 eV/f.u. As for the total magnetization: 0.0 μB per cell.



[5]
## CsCuHgCl6 (PBE)

Data for an optimized crystal structure of CsCuHgCl6.

a = 6.7023 Å, b = 6.7023 Å, c = 7.7101 Å
α = 90.00°, β = 90.00°, γ = 120.00°
Space group P312 (No. 149)
Asymmetric unit:
1 Cs 0.0000 0.0000 0.0000
2 Cu 0.3333 0.6667 0.5000
3 Hg 0.6667 0.3333 0.5000
4 Cl 0.0356 0.3937 0.6839

For the formation energy (no corrections), the calculation gives -6.8 eV/f.u. As for the total magnetization: 2.0 μB per cell.



[6]
## CsCuHgCl5 (PBE)

Data for an optimized crystal structure of CsCuHgCl5.

a = 8.7141 Å, b = 12.8780 Å, c = 9.5178 Å
α = 90.00°, β = 109.89°, γ = 90.00°
Space group C2/c (No. 15)
Asymmetric unit:
1 Cs 0.0000 0.1517 0.2500
2 Cu 0.0000 0.1921 0.7500
3 Hg 0.0000 0.5000 0.0000
4 Cl 0.0000 0.4268 0.2500
5 Cl 0.0778 0.3031 0.5975
6 Cl 0.1483 0.0823 0.9272

For the formation energy (no corrections), the calculation gives -7.1 eV/f.u. As for the total magnetization: 4.2 μB per cell.



[7]
## CsCuHg2Cl6 (PBE)

Data for an optimized crystal structure of CsCuHg2Cl6.

a = 14.4799 Å, b = 14.5966 Å, c = 8.1972 Å
α = 90.00°, β = 117.43°, γ = 90.00°
Space group C2/c (No. 15)
Asymmetric unit:
1 Cs 0.0000 0.1196 0.2500
2 Cu 0.0000 0.1999 0.7500
3 Hg 0.1835 0.4234 0.1040
4 Cl 0.0824 0.2782 0.0227
5 Cl 0.1137 0.0967 0.7221
6 Cl 0.1671 0.4329 0.4320

For the formation energy (no corrections), the calculation gives -8.4 eV/f.u. As for the total magnetization: 0.5 μB per cell.



[8]
## CsHoCu2Cl6 (PBE)

Data for an optimized crystal structure of CsHoCu2Cl6.

a = 10.1431 Å, b = 13.8402 Å, c = 8.5443 Å
α = 90.00°, β = 107.21°, γ = 90.00°
Space group C2/c (No. 15)
Asymmetric unit:
1 Cs 0.0000 0.1455 0.2500
2 Ho 0.0000 0.4461 0.7500
3 Cu 0.2167 0.1441 0.7249
4 Cl 0.0337 0.3918 0.0686
5 Cl 0.1787 0.2894 0.7827
6 Cl 0.2225 0.0084 0.6050

For the formation energy (no corrections), the calculation gives -14.4 eV/f.u. As for the total magnetization: 0.3 μB per cell.



[9]
## Cs2HoCuCl6 (PBE)

Data for an optimized crystal structure of Cs2HoCuCl6.

a = 8.0365 Å, b = 8.0365 Å, c = 9.7021 Å
α = 90.00°, β = 90.00°, γ = 90.00°
Space group I4/mmm (No. 139)
Asymmetric unit:
1 Cs 0.0000 0.5000 0.2500
2 Ho 0.0000 0.0000 0.0000
3 Cu 0.0000 0.0000 0.5000
4 Cl 0.0000 0.0000 0.2749
5 Cl 0.2301 0.2301 0.0000

For the formation energy (no corrections), the calculation gives -18.2 eV/f.u. As for the total magnetization: 0.1 μB per cell.



[10]
## CsCuI2Cl6 (PBE)

Data for an optimized crystal structure of CsCuI2Cl6.

a = 5.6253 Å, b = 8.2369 Å, c = 8.9972 Å
α = 108.89°, β = 91.07°, γ = 96.02°
Space group P-1 (No. 2)
Asymmetric unit:
1 Cs 0.0000 0.0000 0.0000
2 Cu 0.5000 0.5000 0.0000
3 I 0.0689 0.6671 0.3938
4 Cl 0.1818 0.1572 0.4155
5 Cl 0.3101 0.4350 0.1979
6 Cl 0.4559 0.7749 0.1010

For the formation energy (no corrections), the calculation gives -6.3 eV/f.u. As for the total magnetization: 0.0 μB per cell.



[11]
## CsCuICl2 (PBE)

Data for an optimized crystal structure of CsCuICl2.

a = 5.4848 Å, b = 5.4848 Å, c = 7.7417 Å
α = 90.00°, β = 90.00°, γ = 90.00°
Space group P4/mmm (No. 123)
Asymmetric unit:
1 Cs 0.0000 0.0000 0.0000
2 Cu 0.5000 0.5000 0.0000
3 I 0.0000 0.0000 0.5000
4 Cl 0.0000 0.5000 0.5000

For the formation energy (no corrections), the calculation gives 0.3 eV/f.u. Its polymorph energy (0 for the lowest one) is 0.945 eV/atom. As for the total magnetization: 0.5 μB per cell.



[12]
## CsCuICl2 (PBE)

Data for an optimized crystal structure of CsCuICl2.

a = 5.1834 Å, b = 5.1834 Å, c = 5.3842 Å
α = 90.00°, β = 90.00°, γ = 90.00°
Space group P4/mmm (No. 123)
Asymmetric unit:
1 Cs 0.0000 0.0000 0.0000
2 Cu 0.5000 0.5000 0.5000
3 I 0.5000 0.5000 0.0000
4 Cl 0.0000 0.5000 0.5000

For the formation energy (no corrections), the calculation gives -4.4 eV/f.u. Its polymorph energy (0 for the lowest one) is 0.000 eV/atom. As for the total magnetization: 0.0 μB per cell.



Number 1: mass density 3.9 g cm⁻³. Number 2: mass density 3.7 g cm⁻³. Number 3: mass density 3.2 g cm⁻³. Number 4: mass density 3.4 g cm⁻³. Number 5: mass density 3.4 g cm⁻³. Number 6: mass density 3.8 g cm⁻³. Number 7: mass density 3.5 g cm⁻³. Number 8: mass density 3.7 g cm⁻³. Number 9: mass density 3.7 g cm⁻³. Number 10: mass density 2.8 g cm⁻³. Number 11: mass density 2.8 g cm⁻³. Number 12: mass density 4.5 g cm⁻³.